Density functional theory data (GGA-PBE) for CaTmPdAu after structural relaxation.

Values from the calculation:
**E above lowest polymorph**: 22 meV/atom
**Electronic total energy**: -4.539 eV per atom
**Crystal system**: cubic

```
data_CaTmPdAu
_cell_length_a 7.062
_cell_length_b 7.062
_cell_length_c 7.062
_cell_angle_alpha 90.00
_cell_angle_beta 90.00
_cell_angle_gamma 90.00
_symmetry_space_group_name_H-M 'F -4 3 m'
_symmetry_Int_Tables_number 216
_symmetry_space_group_name_Hall 'F -4 2 3'
loop_
_atom_site_label
_atom_site_fract_x
_atom_site_fract_y
_atom_site_fract_z
Ca1 0.000 0.000 0.000
Tm1 0.000 0.000 0.500
Pd1 0.250 0.250 0.750
Au1 0.250 0.250 0.250
```